This record from Alexandria via LeMat-Bulk describes a geometry-optimized SrCdSn2 structure. The functional is PBE.

Computed properties:
Its symmetry is R-3m. The value obtained for the energy of formation from the pure elements is -0.26 eV per atom. As for the crystal system: trigonal. As for the density of states at the Fermi level: 0.762 states/eV/atom. Its total magnetization is 0.00 μB/atom.

a = 4.9674 Å, b = 4.9674 Å, c = 6.3857 Å
α = 67.11°, β = 67.11°, γ = 60.00°
Closest atoms and distances in Å follow each position.
Fractional coordinates of all 4 atoms:
Sn 0.7218 0.7218 0.8345  3 Cd 3.02
Sr 0.5000 0.5000 0.5000  8 Sn 3.45-3.80
Sn 0.2782 0.2782 0.1655  3 Cd 3.02
Cd 0.0000 0.0000 0.0000  6 Sn 3.02

This record from Alexandria via LeMat-Bulk describes a geometry-optimized AsIr2Rh structure. The functional is PBE.

Computed properties:
Its symmetry is Pmm2. The value obtained for the energy of formation from the pure elements is 0.14 eV per atom. As for the crystal system: orthorhombic. As for the density of states at the Fermi level: 1.198 states/eV/atom. Its total magnetization is 0.00 μB/atom.

a = 2.8158 Å, b = 3.7988 Å, c = 5.6244 Å
α = 90.00°, β = 90.00°, γ = 90.00°
Closest atoms and distances in Å follow each position.
Fractional coordinates of all 4 atoms:
Ir 0.5000 0.5000 0.2434  6 Ir 2.67-2.82, 2 As 2.71-2.92, 4 Rh 2.79
Ir 0.0000 0.0000 0.0242  6 Ir 2.67-2.82, 2 Rh 2.72-2.90, 4 As 2.90
As 0.5000 0.5000 0.7243  4 Rh 2.66, 6 Ir 2.71-2.92, 2 As 2.82
Rh 0.0000 0.0000 0.5081  4 As 2.66, 6 Ir 2.72-2.90, 2 Rh 2.82

This record from Alexandria via LeMat-Bulk describes a geometry-optimized LaTa2Mn structure. The functional is PBE.

Computed properties:
Its symmetry is Immm. The value obtained for the energy of formation from the pure elements is 0.45 eV per atom. As for the crystal system: orthorhombic. The excess energy over the best structure of this formula in the dataset is 0.194 eV/atom. As for the density of states at the Fermi level: 1.148 states/eV/atom. Its total magnetization is 0.07 μB/atom.

a = 5.9826 Å, b = 5.9826 Å, c = 5.9826 Å
α = 150.58°, β = 129.74°, γ = 59.32°
Closest atoms and distances in Å follow each position.
Fractional coordinates of all 4 atoms:
Ta 0.9512 0.9512 0.0000  2 Mn 2.59
Mn 0.7500 0.2500 0.5000  4 Ta 2.59
Ta 0.5488 0.5488 0.0000  2 Mn 2.59
La 0.2500 0.7500 0.5000  4 Mn 2.96, 2 La 3.04, 4 Ta 3.29

This record from Alexandria via LeMat-Bulk describes a geometry-optimized Ca2MgZn2Ag5 structure. The functional is PBE.

Computed properties:
Its symmetry is P4/mbm. The value obtained for the energy of formation from the pure elements is -0.22 eV per atom. As for the crystal system: tetragonal. As for the density of states at the Fermi level: 0.338 states/eV/atom. Its total magnetization is 0.00 μB/atom.

a = 3.9914 Å, b = 10.1785 Å, c = 10.1785 Å
α = 90.00°, β = 90.00°, γ = 90.00°
Closest atoms and distances in Å follow each position.
Fractional coordinates of all 20 atoms:
Ca 0.0000 0.1757 0.3243  3 Zn 2.91-3.08, 2 Ag 3.22
Zn 0.0000 0.3777 0.1223  6 Ag 2.66-2.75, 1 Ca 2.91
Ca 0.0000 0.6757 0.1757  3 Zn 2.91-3.08, 2 Ag 3.22
Zn 0.0000 0.6223 0.8777  6 Ag 2.66-2.75, 1 Ca 2.91
Ca 0.0000 0.3243 0.8243  3 Zn 2.91-3.08, 2 Ag 3.22
Ag 0.5000 0.5000 0.0000  4 Zn 2.66
Ag 0.5000 0.2025 0.0606  2 Zn 2.75, 2 Mg 2.93, 2 Ag 3.04
Mg 0.0000 0.5000 0.5000  8 Ag 2.93
Ag 0.5000 0.7025 0.4394  2 Zn 2.75, 2 Mg 2.93, 2 Ag 3.04
Ag 0.5000 0.7975 0.9394  2 Zn 2.75, 2 Mg 2.93, 2 Ag 3.04
Ag 0.5000 0.0000 0.5000  4 Zn 2.66
Ag 0.5000 0.4394 0.2975  2 Zn 2.75, 2 Mg 2.93, 2 Ag 3.04
Zn 0.0000 0.1223 0.6223  6 Ag 2.66-2.75, 1 Ca 2.91
Mg 0.0000 0.0000 0.0000  8 Ag 2.93
Ag 0.5000 0.0606 0.7975  2 Zn 2.75, 2 Mg 2.93, 2 Ag 3.04
Ag 0.5000 0.2975 0.5606  2 Zn 2.75, 2 Mg 2.93, 2 Ag 3.04
Ca 0.0000 0.8243 0.6757  3 Zn 2.91-3.08, 2 Ag 3.22
Ag 0.5000 0.5606 0.7025  2 Zn 2.75, 2 Mg 2.93, 2 Ag 3.04
Zn 0.0000 0.8777 0.3777  6 Ag 2.66-2.75, 1 Ca 2.91
Ag 0.5000 0.9394 0.2025  2 Zn 2.75, 2 Mg 2.93, 2 Ag 3.04

This record from Alexandria via LeMat-Bulk describes a geometry-optimized PmAl3Rh structure. The functional is PBE.

Computed properties:
Its symmetry is Pnma. The value obtained for the energy of formation from the pure elements is -0.74 eV per atom. As for the crystal system: orthorhombic. The excess energy over the best structure of this formula in the dataset is 0.000 eV/atom. As for the density of states at the Fermi level: 0.427 states/eV/atom. Its total magnetization is 0.00 μB/atom.

a = 4.2131 Å, b = 8.4066 Å, c = 10.9633 Å
α = 90.00°, β = 90.00°, γ = 90.00°
Closest atoms and distances in Å follow each position.
Fractional coordinates of all 20 atoms:
Rh 0.7500 0.3908 0.1453  7 Al 2.41-2.60
Rh 0.2500 0.1092 0.6453  7 Al 2.41-2.60
Pm 0.7500 0.3100 0.4838  9 Al 3.11-3.38, 2 Rh 3.23
Pm 0.7500 0.8100 0.0162  9 Al 3.11-3.38, 2 Rh 3.23
Al 0.7500 0.9471 0.5835  3 Rh 2.55-2.60, 1 Al 2.71
Al 0.7500 0.1474 0.7768  2 Rh 2.57, 1 Al 2.71
Al 0.7500 0.4471 0.9165  3 Rh 2.55-2.60, 1 Al 2.71
Rh 0.7500 0.8908 0.3547  7 Al 2.41-2.60
Al 0.2500 0.5529 0.0835  3 Rh 2.55-2.60, 1 Al 2.71
Al 0.2500 0.0529 0.4165  3 Rh 2.55-2.60, 1 Al 2.71
Pm 0.2500 0.1900 0.9838  9 Al 3.11-3.38, 2 Rh 3.23
Al 0.7500 0.1129 0.2152  2 Rh 2.41-2.46
Al 0.2500 0.8526 0.2232  2 Rh 2.57, 1 Al 2.71
Al 0.7500 0.6129 0.2848  2 Rh 2.41-2.46
Al 0.2500 0.3871 0.7152  2 Rh 2.41-2.46
Pm 0.2500 0.6900 0.5162  9 Al 3.11-3.38, 2 Rh 3.23
Al 0.2500 0.3526 0.2768  2 Rh 2.57, 1 Al 2.71
Rh 0.2500 0.6092 0.8547  7 Al 2.41-2.60
Al 0.7500 0.6474 0.7232  2 Rh 2.57, 1 Al 2.71
Al 0.2500 0.8871 0.7848  2 Rh 2.41-2.46